No. 1
Entry from Alexandria via LeMat-Bulk: crystalline LaSbSe at its relaxed geometry (PBE).

Unit cell a=9.6622 b=4.6212 c=9.8883 alpha=90.00 beta=117.68 gamma=90.00
Space group C2/m (No. 12)
One atom of each set of equivalent atoms:
La (0.2360, 0.0000, 0.2922) [4 per cell]
Sb (0.1604, 0.0000, 0.9115) [4 per cell]
Se (0.0835, 0.5000, 0.3631) [4 per cell]

Output
Formation energy from raw total energies in kcal/mol of atoms: -30.4

***

No. 2
Entry from Alexandria via LeMat-Bulk: crystalline TmScMnAl at its relaxed geometry (PBE).

Unit cell a=6.9039 b=6.9039 c=6.9039 alpha=90.00 beta=90.00 gamma=90.00
Space group F-43m (No. 216)
One atom of each set of equivalent atoms:
Tm (0.0000, 0.0000, 0.0000) [4 per cell]
Sc (0.0000, 0.0000, 0.5000) [4 per cell]
Mn (0.2500, 0.2500, 0.2500) [4 per cell]
Al (0.2500, 0.2500, 0.7500) [4 per cell]

Output
Formation enthalpy at 0 K in eV/atom: -0.113

***

| no. | total magnetization (μB/f.u.) |
| --- | --- |
| 1 | 0.00 |
| 2 | 3.09 |